# Sc2UPaAs4

A relaxed structure of Sc2UPaAs4 (PBE, the Alexandria database).

* volume: 22.49 A^3/atom

Structure (CIF):
```
data_Sc2UPaAs4
_cell_length_a 6.907
_cell_length_b 3.991
_cell_length_c 6.923
_cell_angle_alpha 90.00
_cell_angle_beta 109.47
_cell_angle_gamma 90.00
_symmetry_space_group_name_H-M 'P 1 2/m 1'
_symmetry_Int_Tables_number 10
_symmetry_space_group_name_Hall '-P 2y'
loop_
_atom_site_label
_atom_site_fract_x
_atom_site_fract_y
_atom_site_fract_z
Sc1 0.000 0.000 0.000
Sc2 0.500 0.500 0.000
U1 0.000 0.500 0.500
Pa1 0.500 0.000 0.500
As1 0.245 0.500 0.234
As2 0.255 0.000 0.765
```

---

# ScU2PaAs4

A relaxed structure of ScU2PaAs4 (PBE, the Alexandria database).

* volume: 23.36 A^3/atom

Structure (CIF):
```
data_ScU2PaAs4
_cell_length_a 6.984
_cell_length_b 4.017
_cell_length_c 7.048
_cell_angle_alpha 90.00
_cell_angle_beta 109.08
_cell_angle_gamma 90.00
_symmetry_space_group_name_H-M 'P 1 2/m 1'
_symmetry_Int_Tables_number 10
_symmetry_space_group_name_Hall '-P 2y'
loop_
_atom_site_label
_atom_site_fract_x
_atom_site_fract_y
_atom_site_fract_z
Sc1 0.000 0.000 0.000
U1 0.500 0.000 0.500
U2 0.500 0.500 0.000
Pa1 0.000 0.500 0.500
As1 0.241 0.500 0.240
As2 0.245 0.000 0.757
```

---

# Y4Sc3PaAs8

A relaxed structure of Y4Sc3PaAs8 (PBE, the Alexandria database).

* volume: 23.18 A^3/atom

Structure (CIF):
```
data_Y4Sc3PaAs8
_cell_length_a 8.0554
_cell_length_b 8.0554
_cell_length_c 19.7961
_cell_angle_alpha 90.00
_cell_angle_beta 90.00
_cell_angle_gamma 120.00
_symmetry_space_group_name_H-M 'R -3 m'
_symmetry_Int_Tables_number 166
_symmetry_space_group_name_Hall '-R 3 2"'
loop_
_atom_site_label
_atom_site_fract_x
_atom_site_fract_y
_atom_site_fract_z
Y1 0.0000 0.0000 0.0000
Y2 0.0000 0.5000 0.0000
Sc1 0.0000 0.5000 0.5000
Pa1 0.0000 0.0000 0.5000
As1 0.0000 0.0000 0.2449
As2 0.0046 0.5023 0.7540
```

---

# YSc2PaAs4

A relaxed structure of YSc2PaAs4 (PBE, the Alexandria database).

* volume: 22.55 A^3/atom

Structure (CIF):
```
data_YSc2PaAs4
_cell_length_a 6.873
_cell_length_b 4.014
_cell_length_c 6.942
_cell_angle_alpha 90.00
_cell_angle_beta 109.64
_cell_angle_gamma 90.00
_symmetry_space_group_name_H-M 'P 1 2/m 1'
_symmetry_Int_Tables_number 10
_symmetry_space_group_name_Hall '-P 2y'
loop_
_atom_site_label
_atom_site_fract_x
_atom_site_fract_y
_atom_site_fract_z
Y1 0.000 0.000 0.000
Sc1 0.500 0.000 0.500
Sc2 0.500 0.500 0.000
Pa1 0.000 0.500 0.500
As1 0.263 0.500 0.258
As2 0.265 0.000 0.754
```

---

How do the records compare in E_tot? In the order shown, they have -7.63, -8.07, -7.14, -7.24 eV/atom.
How do the records compare in DFT formation energy? In the order shown, they have -1127, -943, -1421, -1336 meV/atom.